An optimized crystal structure of Mn2TlIr. Source: the Alexandria database, functional PBE.

## Properties
**ΔE to the lowest computed polymorph**: 757.2 meV/atom
**E_form**: 987 meV/atom
**Theoretical density**: 12.66 g/cm³

a = 7.027 Å, b = 7.027 Å, c = 5.381 Å
α = 90.00°, β = 90.00°, γ = 90.00°
Space group I-42d (No. 122)
Symmetry-distinct sites (fractional):
Mn (0.200, 0.750, 0.125)
Tl (0.000, 0.000, 0.500)
Ir (0.000, 0.000, 0.000)



An optimized crystal structure of Rb3LiPu3O8. Source: the Alexandria database, functional PBE.

## Properties
**Theoretical density**: 6.85 g/cm³
**Energy**: -8.2365 eV per atom

a = 6.9332 Å, b = 6.9332 Å, c = 19.6165 Å
α = 90.00°, β = 90.00°, γ = 120.00°
Space group R-3m (No. 166, hexagonal axes)
Symmetry-distinct sites (fractional):
Rb (0.0000, 0.5000, 0.0000)
Li (0.0000, 0.0000, 0.5000)
Pu (0.0000, 0.5000, 0.5000)
O (0.0000, 0.0000, 0.2273)
O (0.0217, 0.5108, 0.7789)